Computed, not measured: an optimized crystal structure of Tb3Pm2NdP6 at the PBE level of DFT.

## Properties
Space-group type: C2/m
ΔE_f in eV/atom: -1.580
Electronic total energy in Ha/atom: -0.2437

Unit cell a=7.0774 b=7.0774 c=7.0770 alpha=99.59 beta=99.59 gamma=119.99
Fractional positions:
P 0.0856 0.4201 0.2570
Tb 0.1665 0.8335 0.5000
P 0.2488 0.2488 0.7430
P 0.4201 0.0856 0.2570
P 0.9144 0.5799 0.7430
Tb 0.5000 0.5000 0.5000
Tb 0.8335 0.1665 0.5000
P 0.7512 0.7512 0.2570
Pm 0.3333 0.6667 0.0000
Pm 0.6667 0.3333 0.0000
Nd 0.0000 0.0000 0.0000
P 0.5799 0.9144 0.7430